DFT (PBE+U) results for a relaxed structure of ZnFeO2.

abc: 6.2123 4.5271 6.9248
angles: 90.00 90.00 90.00
With the nearest neighbours (Å) after each atom.
Element x y z (fractional)
1 Zn 0.0777 0.2500 0.1280  3 O 2.01-2.03
2 Zn 0.4223 0.7500 0.6280  3 O 2.01-2.03
3 Zn 0.5777 0.2500 0.3720  3 O 2.01-2.03
4 Zn 0.9223 0.7500 0.8720  3 O 2.01-2.03
5 Fe 0.0977 0.2500 0.6177  3 O 2.01-2.09
6 Fe 0.4023 0.7500 0.1177  3 O 2.01-2.09
7 Fe 0.5977 0.2500 0.8823  3 O 2.01-2.09
8 Fe 0.9023 0.7500 0.3823  3 O 2.01-2.09
9 O 0.0794 0.7500 0.1254  2 Fe 2.01-2.09, 1 Zn 2.01
10 O 0.0957 0.7500 0.6257  2 Zn 2.02-2.03, 1 Fe 2.07
11 O 0.4043 0.2500 0.1257  2 Zn 2.02-2.03, 1 Fe 2.07
12 O 0.4206 0.2500 0.6254  2 Fe 2.01-2.09, 1 Zn 2.01
13 O 0.5794 0.7500 0.3746  2 Fe 2.01-2.09, 1 Zn 2.01
14 O 0.5957 0.7500 0.8743  2 Zn 2.02-2.03, 1 Fe 2.07
15 O 0.9043 0.2500 0.3743  2 Zn 2.02-2.03, 1 Fe 2.07
16 O 0.9206 0.2500 0.8746  2 Fe 2.01-2.09, 1 Zn 2.01

Output
Space group = Pnma, No. 62
Crystal system = orthorhombic
Energy relative to the lowest polymorph listed for this composition = 2.67 kJ per mole of atoms